Computed, not measured: crystalline SmCuPH at its relaxed geometry at the PBE level of DFT.

Summary:
Its density of states at the Fermi level is 0.2 states/eV/f.u. As for the electronic total energy: -5.2261 eV/atom.

abc: 3.847 3.847 7.895
angles: 90.00 90.00 90.00
Fractional coordinates of all 8 atoms:
P (0.500, 0.000, 0.185)
P (0.000, 0.500, 0.815)
Sm (0.500, 0.000, 0.676)
Sm (0.000, 0.500, 0.324)
H (0.500, 0.500, 0.500)
H (0.000, 0.000, 0.500)
Cu (0.000, 0.000, 0.000)
Cu (0.500, 0.500, 0.000)

Computed, not measured: crystalline SrCu2PH at its relaxed geometry at the PBE level of DFT.

Summary:
Its density of states at the Fermi level is 0.5 states/eV/f.u. As for the electronic total energy: -4.1806 eV/atom.

abc: 3.983 5.738 6.880
angles: 90.00 90.00 110.31
Fractional coordinates of all 10 atoms:
Cu (0.830, 0.660, 0.437)
Cu (0.170, 0.340, 0.937)
Cu (0.830, 0.660, 0.063)
Cu (0.170, 0.340, 0.563)
P (0.724, 0.449, 0.750)
P (0.276, 0.551, 0.250)
Sr (0.444, 0.888, 0.750)
Sr (0.556, 0.112, 0.250)
H (0.000, 0.000, 0.000)
H (0.000, 0.000, 0.500)